#P
This record from Alexandria via LeMat-Bulk describes a relaxed structure of MgMoPb. The functional is PBE-GGA.

Output
Calculated volume   21.10 Å³ per atom

a = 3.1481 Å, b = 3.1481 Å, c = 7.3760 Å
α = 90.00°, β = 90.00°, γ = 120.00°
Space group P3m1 (No. 156)
One atom of each set of equivalent atoms:
Mg: 0.0000 0.0000 0.0000 [1 per cell]
Mo: 0.6667 0.3333 0.2995 [1 per cell]
Pb: 0.3333 0.6667 0.6259 [1 per cell]

#Q
This record from Alexandria via LeMat-Bulk describes a relaxed structure of MgMoPb. The functional is PBE-GGA.

Output
Calculated volume   21.69 Å³ per atom

a = 3.0230 Å, b = 3.0230 Å, c = 14.2377 Å
α = 90.00°, β = 90.00°, γ = 90.00°
Space group I4mm (No. 107)
One atom of each set of equivalent atoms:
Mg: 0.0000 0.0000 0.0000 [2 per cell]
Mo: 0.0000 0.0000 0.3629 [2 per cell]
Pb: 0.0000 0.0000 0.7038 [2 per cell]

Energy above the most stable structure, in meV/atom: #P 15; #Q 0

#P
This record from Alexandria via LeMat-Bulk describes a relaxed structure of PrYSnHg. The functional is PBE-GGA.

Output
Calculated volume   27.75 Å³ per atom

a = 7.6285 Å, b = 7.6285 Å, c = 7.6285 Å
α = 90.00°, β = 90.00°, γ = 90.00°
Space group F-43m (No. 216)
One atom of each set of equivalent atoms:
Pr: 0.0000 0.0000 0.0000 [4 per cell]
Y: 0.0000 0.0000 0.5000 [4 per cell]
Sn: 0.2500 0.2500 0.7500 [4 per cell]
Hg: 0.2500 0.2500 0.2500 [4 per cell]

#Q
This record from Alexandria via LeMat-Bulk describes a relaxed structure of PrYSnHg. The functional is PBE-GGA.

Output
Calculated volume   29.26 Å³ per atom

a = 4.4788 Å, b = 4.4643 Å, c = 11.7070 Å
α = 90.00°, β = 90.00°, γ = 90.00°
Space group Amm2 (No. 38)
One atom of each set of equivalent atoms:
Pr: 0.0000 0.0000 0.0000 [2 per cell]
Y: 0.5000 0.0000 0.2775 [2 per cell]
Sn: 0.0000 0.0000 0.7252 [2 per cell]
Hg: 0.5000 0.0000 0.5521 [2 per cell]

Energy above the most stable structure, in meV/atom: #P 10; #Q 0

#P
This record from Alexandria via LeMat-Bulk describes a relaxed structure of KMnNi. The functional is PBE-GGA.

Output
Calculated volume   27.53 Å³ per atom

a = 4.1014 Å, b = 4.1015 Å, c = 11.5219 Å
α = 97.89°, β = 92.10°, γ = 119.89°
Space group P1 (No. 1)
One atom of each set of equivalent atoms:
K: 0.0000 0.0000 0.0000 [1 per cell]
K: 0.2449 0.3664 0.6327 [1 per cell]
Mn: 0.4912 0.8990 0.4025 [1 per cell]
Mn: 0.7698 0.4849 0.2622 [1 per cell]
Ni: 0.1232 0.1812 0.3137 [1 per cell]
Ni: 0.4123 0.7829 0.1999 [1 per cell]

#Q
This record from Alexandria via LeMat-Bulk describes a relaxed structure of KMnNi. The functional is PBE-GGA.

Output
Calculated volume   23.25 Å³ per atom

a = 3.3914 Å, b = 3.3914 Å, c = 7.0029 Å
α = 90.00°, β = 90.00°, γ = 120.00°
Space group P3m1 (No. 156)
One atom of each set of equivalent atoms:
K: 0.0000 0.0000 0.0000 [1 per cell]
Mn: 0.3333 0.6667 0.4458 [1 per cell]
Ni: 0.6667 0.3333 0.6346 [1 per cell]

Energy above the most stable structure, in meV/atom: #P 0; #Q 454

#P
This record from Alexandria via LeMat-Bulk describes a relaxed structure of InMo. The functional is PBE-GGA.

Output
Calculated volume   22.27 Å³ per atom

a = 4.1457 Å, b = 13.0524 Å, c = 4.9388 Å
α = 90.00°, β = 90.00°, γ = 90.00°
Space group Pmmn (No. 59, origin choice 2)
One atom of each set of equivalent atoms:
In: 0.2500 0.0148 0.2276 [4 per cell]
In: 0.2500 0.2500 0.2171 [2 per cell]
Mo: 0.2500 0.1411 0.7168 [4 per cell]
Mo: 0.2500 0.7500 0.2801 [2 per cell]

#Q
This record from Alexandria via LeMat-Bulk describes a relaxed structure of InMo. The functional is PBE-GGA.

Output
Calculated volume   26.10 Å³ per atom

a = 4.7166 Å, b = 4.7166 Å, c = 5.4193 Å
α = 90.00°, β = 90.00°, γ = 120.00°
Space group P6_3/mmc (No. 194)
One atom of each set of equivalent atoms:
In: 0.3333 0.6667 0.2500 [2 per cell]
Mo: 0.3333 0.6667 0.7500 [2 per cell]

Energy above the most stable structure, in meV/atom: #P 0; #Q 896

#P
This record from Alexandria via LeMat-Bulk describes a relaxed structure of ZnIO2. The functional is PBE-GGA.

Output
Calculated volume   18.76 Å³ per atom

a = 9.1289 Å, b = 3.2943 Å, c = 4.9917 Å
α = 90.00°, β = 91.20°, γ = 90.00°
Space group Cm (No. 8)
One atom of each set of equivalent atoms:
Zn: 0.0000 0.0000 0.0000 [2 per cell]
I: 0.2588 0.5000 0.5893 [2 per cell]
O: 0.0891 0.5000 0.8894 [2 per cell]
O: 0.4287 0.5000 0.3534 [2 per cell]

#Q
This record from Alexandria via LeMat-Bulk describes a relaxed structure of ZnIO2. The functional is PBE-GGA.

Output
Calculated volume   19.70 Å³ per atom

a = 3.5201 Å, b = 4.6361 Å, c = 5.4600 Å
α = 72.02°, β = 85.81°, γ = 68.56°
Space group P1 (No. 1)
One atom of each set of equivalent atoms:
Zn: 0.0000 0.0000 0.0000 [1 per cell]
I: 0.3994 0.2078 0.4103 [1 per cell]
O: 0.4328 0.1543 0.8733 [1 per cell]
O: 0.9729 0.6319 0.2931 [1 per cell]

Energy above the most stable structure, in meV/atom: #P 0; #Q 159